# 1
Hf2SnO (meta-GGA SCAN, single point on PBEsol structure); total moment = 0.0 μB/f.u.; D(E_F) = 3.4 states/eV per cell; symmetry = Fm-3m; uncorrected formation energy = -9.0 kcal/mol of atoms; energy = -42.26 eV/atom
1.0
0.000 3.269 3.269
3.269 0.000 3.269
3.269 3.269 0.000
Hf Sn O
2 1 1
Direct
0.250 0.250 0.250
0.750 0.750 0.750
0.000 0.000 0.000
0.500 0.500 0.500

# 2
Sr2HfO4 (meta-GGA SCAN, single point on PBEsol structure); total moment = 0.0 μB/f.u.; D(E_F) = 0.0 states/eV per cell; symmetry = Pbam; uncorrected formation energy = -79.5 kcal/mol of atoms; energy = -22.33 eV/atom
1.0
6.015 0.000 0.000
0.000 10.170 0.000
0.000 0.000 3.332
Sr Hf O
4 2 8
Direct
0.067 0.179 0.000
0.433 0.679 0.000
0.567 0.321 0.000
0.933 0.821 0.000
0.000 0.500 0.500
0.500 0.000 0.500
0.132 0.686 0.500
0.212 0.454 0.000
0.288 0.954 0.000
0.368 0.186 0.500
0.632 0.814 0.500
0.712 0.046 0.000
0.788 0.546 0.000
0.868 0.314 0.500

# 3
Sr2Hf7O16 (meta-GGA SCAN, single point on PBEsol structure); total moment = 0.0 μB/f.u.; D(E_F) = 0.0 states/eV per cell; symmetry = R-3; uncorrected formation energy = -87.6 kcal/mol of atoms; energy = -27.12 eV/atom
1.0
3.166 1.828 8.834
-3.166 1.828 8.834
0.000 -3.655 8.834
Sr Hf O
2 7 16
Direct
0.166 0.166 0.166
0.834 0.834 0.834
0.013 0.387 0.754
0.246 0.987 0.613
0.387 0.754 0.013
0.500 0.500 0.500
0.613 0.246 0.987
0.754 0.013 0.387
0.987 0.613 0.246
0.071 0.071 0.071
0.088 0.651 0.351
0.179 0.463 0.731
0.264 0.264 0.264
0.269 0.821 0.537
0.349 0.649 0.912
0.351 0.088 0.651
0.463 0.731 0.179
0.537 0.269 0.821
0.649 0.912 0.349
0.651 0.351 0.088
0.731 0.179 0.463
0.736 0.736 0.736
0.821 0.537 0.269
0.912 0.349 0.649
0.929 0.929 0.929

# 4
Sr2HfO4 (meta-GGA SCAN, single point on PBEsol structure); total moment = 0.0 μB/f.u.; D(E_F) = 0.0 states/eV per cell; symmetry = P4_2/ncm; uncorrected formation energy = -80.7 kcal/mol of atoms; energy = -22.38 eV/atom
1.0
5.792 0.000 0.000
0.000 5.792 0.000
0.000 0.000 12.484
Sr Hf O
8 4 16
Direct
0.015 0.015 0.148
0.015 0.485 0.648
0.485 0.015 0.648
0.485 0.485 0.148
0.515 0.515 0.852
0.515 0.985 0.352
0.985 0.515 0.352
0.985 0.985 0.852
0.000 0.000 0.500
0.000 0.500 0.000
0.500 0.000 0.000
0.500 0.500 0.500
0.046 0.046 0.664
0.046 0.454 0.164
0.250 0.250 0.473
0.250 0.250 0.973
0.250 0.750 0.000
0.250 0.750 0.500
0.454 0.046 0.164
0.454 0.454 0.664
0.546 0.546 0.336
0.546 0.954 0.836
0.750 0.250 0.000
0.750 0.250 0.500
0.750 0.750 0.027
0.750 0.750 0.527
0.954 0.546 0.836
0.954 0.954 0.336

# 5
SrHfO2 (meta-GGA SCAN, single point on PBEsol structure); total moment = 1.8 μB/f.u.; D(E_F) = 3.9 states/eV per cell; symmetry = I-42d; uncorrected formation energy = -59.2 kcal/mol of atoms; energy = -26.92 eV/atom
1.0
-2.638 2.638 5.245
2.638 -2.638 5.245
2.638 2.638 -5.245
Sr Hf O
2 2 4
Direct
0.000 0.000 0.000
0.750 0.250 0.500
0.250 0.750 0.500
0.500 0.500 0.000
0.212 0.625 0.087
0.375 0.462 0.587
0.538 0.125 0.913
0.875 0.788 0.413

# 6
Sr3Hf2O7 (meta-GGA SCAN, single point on PBEsol structure); total moment = 0.0 μB/f.u.; D(E_F) = 0.0 states/eV per cell; symmetry = Ccce; uncorrected formation energy = -82.6 kcal/mol of atoms; energy = -23.23 eV/atom
1.0
2.848 -10.582 0.000
2.848 10.582 0.000
0.000 0.000 5.696
Sr Hf O
6 4 14
Direct
0.062 0.938 0.750
0.250 0.750 0.750
0.438 0.562 0.750
0.562 0.438 0.250
0.750 0.250 0.250
0.938 0.062 0.250
0.152 0.848 0.250
0.348 0.652 0.250
0.652 0.348 0.750
0.848 0.152 0.750
0.046 0.352 0.051
0.054 0.946 0.250
0.148 0.454 0.551
0.250 0.750 0.250
0.352 0.046 0.551
0.446 0.554 0.250
0.454 0.148 0.051
0.546 0.852 0.949
0.554 0.446 0.750
0.648 0.954 0.449
0.750 0.250 0.750
0.852 0.546 0.449
0.946 0.054 0.750
0.954 0.648 0.949

# 7
Sr2HfO4 (meta-GGA SCAN, single point on PBEsol structure); total moment = 0.0 μB/f.u.; D(E_F) = 0.0 states/eV per cell; symmetry = I4/mmm; uncorrected formation energy = -80.5 kcal/mol of atoms; energy = -22.37 eV/atom
1.0
-2.035 2.035 6.332
2.035 -2.035 6.332
2.035 2.035 -6.332
Sr Hf O
2 1 4
Direct
0.147 0.147 0.000
0.853 0.853 0.000
0.500 0.500 0.000
0.000 0.500 0.500
0.336 0.336 0.000
0.500 0.000 0.500
0.664 0.664 0.000

# 8
Sr3HfO (meta-GGA SCAN, single point on PBEsol structure); total moment = 4.3 μB/f.u.; D(E_F) = 4.0 states/eV per cell; symmetry = Pm-3m; uncorrected formation energy = 27.1 kcal/mol of atoms; energy = -25.97 eV/atom
1.0
6.000 0.000 0.000
0.000 6.000 0.000
0.000 0.000 6.000
Sr Hf O
3 1 1
Direct
0.000 0.000 0.500
0.000 0.500 0.000
0.500 0.000 0.000
0.000 0.000 0.000
0.500 0.500 0.500

# 9
Sr3Hf2O7 (meta-GGA SCAN, single point on PBEsol structure); total moment = 0.0 μB/f.u.; D(E_F) = 0.0 states/eV per cell; symmetry = I4/mmm; uncorrected formation energy = -82.4 kcal/mol of atoms; energy = -23.22 eV/atom
1.0
-2.043 2.043 10.388
2.043 -2.043 10.388
2.043 2.043 -10.388
Sr Hf O
3 2 7
Direct
0.000 0.000 0.000
0.186 0.186 0.000
0.814 0.814 0.000
0.400 0.400 0.000
0.600 0.600 0.000
0.098 0.598 0.500
0.301 0.301 0.000
0.402 0.902 0.500
0.500 0.500 0.000
0.598 0.098 0.500
0.699 0.699 0.000
0.902 0.402 0.500

# 10
Sr2HfO4 (meta-GGA SCAN, single point on PBEsol structure); total moment = 0.0 μB/f.u.; D(E_F) = 0.0 states/eV per cell; symmetry = I4_1/acd; uncorrected formation energy = -80.6 kcal/mol of atoms; energy = -22.37 eV/atom
1.0
-2.836 2.836 12.957
2.836 -2.836 12.957
2.836 2.836 -12.957
Sr Hf O
8 4 16
Direct
0.050 0.300 0.750
0.200 0.450 0.750
0.300 0.050 0.250
0.450 0.200 0.250
0.550 0.800 0.750
0.700 0.950 0.750
0.800 0.550 0.250
0.950 0.700 0.250
0.125 0.875 0.250
0.375 0.625 0.750
0.625 0.375 0.250
0.875 0.125 0.750
0.044 0.794 0.250
0.076 0.826 0.652
0.174 0.326 0.250
0.206 0.956 0.250
0.294 0.544 0.750
0.326 0.576 0.152
0.424 0.076 0.750
0.456 0.706 0.750
0.544 0.294 0.250
0.576 0.924 0.250
0.674 0.424 0.848
0.706 0.456 0.250
0.794 0.044 0.750
0.826 0.674 0.750
0.924 0.174 0.348
0.956 0.206 0.750

# 11
SrHfTaO2 (meta-GGA SCAN, single point on PBEsol structure); total moment = 1.4 μB/f.u.; D(E_F) = 3.3 states/eV per cell; symmetry = P4/mmm; uncorrected formation energy = -4.5 kcal/mol of atoms; energy = -32.99 eV/atom
1.0
3.988 0.000 0.000
0.000 3.988 0.000
0.000 0.000 6.798
Sr Hf Ta O
1 1 1 2
Direct
0.000 0.000 0.000
0.500 0.500 0.000
0.000 0.000 0.500
0.000 0.500 0.500
0.500 0.000 0.500

# 12
Sr2HfTiO6 (meta-GGA SCAN, single point on PBEsol structure); total moment = 0.0 μB/f.u.; D(E_F) = 0.0 states/eV per cell; symmetry = Fm-3m; uncorrected formation energy = -82.3 kcal/mol of atoms; energy = -19.63 eV/atom
1.0
0.000 3.995 3.995
3.995 0.000 3.995
3.995 3.995 0.000
Sr Hf Ti O
2 1 1 6
Direct
0.250 0.250 0.250
0.750 0.750 0.750
0.000 0.000 0.000
0.500 0.500 0.500
0.256 0.256 0.744
0.256 0.744 0.256
0.256 0.744 0.744
0.744 0.256 0.256
0.744 0.256 0.744
0.744 0.744 0.256

# 13
SrHf2TiO (meta-GGA SCAN, single point on PBEsol structure); total moment = 4.1 μB/f.u.; D(E_F) = 6.0 states/eV per cell; symmetry = P4/mmm; uncorrected formation energy = 33.8 kcal/mol of atoms; energy = -32.51 eV/atom
1.0
5.405 0.000 0.000
0.000 5.405 0.000
0.000 0.000 4.160
Sr Hf Ti O
1 2 1 1
Direct
0.000 0.000 0.000
0.000 0.500 0.000
0.500 0.000 0.000
0.500 0.500 0.500
0.000 0.000 0.500

# 14
Sr4HfTi3O12 (meta-GGA SCAN, single point on PBEsol structure); total moment = 0.0 μB/f.u.; D(E_F) = 0.0 states/eV per cell; symmetry = Cmmm; uncorrected formation energy = -80.9 kcal/mol of atoms; energy = -17.24 eV/atom
1.0
3.949 -7.885 0.000
3.949 7.885 0.000
0.000 0.000 3.964
Sr Hf Ti O
4 1 3 12
Direct
0.114 0.370 0.000
0.370 0.114 0.000
0.630 0.886 0.000
0.886 0.630 0.000
0.500 0.500 0.500
0.000 0.000 0.500
0.249 0.751 0.500
0.751 0.249 0.500
0.000 0.000 0.000
0.000 0.500 0.500
0.125 0.875 0.500
0.242 0.242 0.500
0.246 0.754 0.000
0.370 0.630 0.500
0.500 0.000 0.500
0.500 0.500 0.000
0.630 0.370 0.500
0.754 0.246 0.000
0.758 0.758 0.500
0.875 0.125 0.500

# 15
HfTcO3 (meta-GGA SCAN, single point on PBEsol structure); total moment = 1.2 μB/f.u.; D(E_F) = 2.8 states/eV per cell; symmetry = Pm-3m; uncorrected formation energy = -27.8 kcal/mol of atoms; energy = -24.49 eV/atom
1.0
3.842 0.000 0.000
0.000 3.842 0.000
0.000 0.000 3.842
Hf Tc O
1 1 3
Direct
0.000 0.000 0.000
0.500 0.500 0.500
0.000 0.500 0.500
0.500 0.000 0.500
0.500 0.500 0.000

# 16
HfTe3O8 (meta-GGA SCAN, single point on PBEsol structure); total moment = 0.0 μB/f.u.; D(E_F) = 0.0 states/eV per cell; symmetry = Ia-3; uncorrected formation energy = -41.8 kcal/mol of atoms; energy = -20.50 eV/atom
1.0
-5.587 5.587 5.587
5.587 -5.587 5.587
5.587 5.587 -5.587
Hf Te O
4 12 32
Direct
0.000 0.000 0.500
0.000 0.500 0.000
0.500 0.000 0.000
0.500 0.500 0.500
0.038 0.250 0.288
0.212 0.462 0.750
0.250 0.288 0.038
0.250 0.788 0.538
0.288 0.038 0.250
0.462 0.750 0.212
0.538 0.250 0.788
0.712 0.962 0.750
0.750 0.212 0.462
0.750 0.712 0.962
0.788 0.538 0.250
0.962 0.750 0.712
0.000 0.338 0.500
0.000 0.662 0.500
0.030 0.069 0.328
0.039 0.470 0.798
0.069 0.328 0.030
0.162 0.162 0.162
0.172 0.241 0.702
0.202 0.961 0.530
0.241 0.702 0.172
0.259 0.431 0.461
0.298 0.828 0.759
0.328 0.030 0.069
0.338 0.500 0.000
0.431 0.461 0.259
0.461 0.259 0.431
0.470 0.798 0.039
0.500 0.000 0.338
0.500 0.000 0.662
0.530 0.202 0.961
0.539 0.741 0.569
0.569 0.539 0.741
0.662 0.500 0.000
0.672 0.970 0.931
0.702 0.172 0.241
0.741 0.569 0.539
0.759 0.298 0.828
0.798 0.039 0.470
0.828 0.759 0.298
0.838 0.838 0.838
0.931 0.672 0.970
0.961 0.530 0.202
0.970 0.931 0.672

# 17
HfTi3O (meta-GGA SCAN, single point on PBEsol structure); total moment = 0.0 μB/f.u.; D(E_F) = 3.3 states/eV per cell; symmetry = Pm-3m; uncorrected formation energy = -26.8 kcal/mol of atoms; energy = -24.56 eV/atom
1.0
4.183 0.000 0.000
0.000 4.183 0.000
0.000 0.000 4.183
Hf Ti O
1 3 1
Direct
0.000 0.000 0.000
0.000 0.500 0.500
0.500 0.000 0.500
0.500 0.500 0.000
0.500 0.500 0.500

# 18
HfTiO4 (meta-GGA SCAN, single point on PBEsol structure); total moment = 0.0 μB/f.u.; D(E_F) = 0.0 states/eV per cell; symmetry = P1; uncorrected formation energy = -82.4 kcal/mol of atoms; energy = -20.84 eV/atom
1.0
4.743 0.000 0.000
-0.011 5.575 0.000
-0.218 -0.070 10.038
Hf Ti O
4 4 16
Direct
0.000 0.000 0.000
0.005 0.009 0.496
0.011 0.378 0.755
0.512 0.513 0.493
0.005 0.377 0.245
0.501 0.876 0.247
0.502 0.862 0.750
0.504 0.514 0.003
0.214 0.304 0.406
0.227 0.074 0.171
0.241 0.297 0.924
0.250 0.079 0.668
0.265 0.574 0.160
0.275 0.788 0.905
0.283 0.587 0.659
0.297 0.805 0.406
0.702 0.802 0.088
0.722 0.582 0.846
0.734 0.796 0.595
0.752 0.586 0.328
0.758 0.083 0.328
0.771 0.074 0.830
0.775 0.309 0.083
0.790 0.296 0.584